Record 1
# SrSbCl PBE optimized geometry
data_SrSbCl
_chemical_formula_sum 'Sr2 Sb2 Cl2'
_cell_length_a 3.593
_cell_length_b 3.593
_cell_length_c 15.880
_cell_angle_alpha 90.00
_cell_angle_beta 90.00
_cell_angle_gamma 90.00
_space_group_name_H-M_alt 'I 4 m m'
_space_group_IT_number 107
_space_group_name_Hall 'I 4 -2'
loop_
_atom_site_label
_atom_site_type_symbol
_atom_site_fract_x
_atom_site_fract_y
_atom_site_fract_z
Sr1 Sr 0.000 0.000 0.000
Sb1 Sb 0.000 0.000 0.660
Cl1 Cl 0.000 0.000 0.406
# mass density: 4.0 Mg/m³
# volume: 205.0 Å³/cell
# formation energy without anion corrections: -1.200 eV/atom
# total magnetization: 0.00 Bohr magnetons per cell
# E above lowest polymorph: 352 meV per atom
# electronic total energy: -3.7507 eV per atom

Record 2
# La2GaPb PBE optimized geometry
data_La2GaPb
_chemical_formula_sum 'La4 Ga2 Pb2'
_cell_length_a 6.429
_cell_length_b 4.399
_cell_length_c 9.267
_cell_angle_alpha 90.00
_cell_angle_beta 108.08
_cell_angle_gamma 90.00
_space_group_name_H-M_alt 'P 1 21/m 1'
_space_group_IT_number 11
loop_
_space_group_symop_operation_xyz
'x,y,z'
'-x,-y,-z'
'-x,y+1/2,-z'
'x,-y+1/2,z'
loop_
_atom_site_label
_atom_site_type_symbol
_atom_site_fract_x
_atom_site_fract_y
_atom_site_fract_z
La1 La 0.195 0.250 0.423
La2 La 0.277 0.750 0.062
Ga1 Ga 0.129 0.250 0.789
Pb1 Pb 0.373 0.750 0.712
# mass density: 7.4 Mg/m³
# volume: 249.1 Å³/cell
# energy relative to the elements: -2.42 eV per formula unit
# total magnetization: 1.25 Bohr magnetons per cell
# E above lowest polymorph: 0 meV per atom
# electronic total energy: -4.7528 eV per atom

Record 3
# MnAgPb3 PBE optimized geometry
data_MnAgPb3
_chemical_formula_sum 'Mn1 Ag1 Pb3'
_cell_length_a 5.133
_cell_length_b 5.133
_cell_length_c 5.133
_cell_angle_alpha 90.00
_cell_angle_beta 90.00
_cell_angle_gamma 90.00
_space_group_name_H-M_alt 'P m -3 m'
_space_group_IT_number 221
_space_group_name_Hall '-P 4 2 3'
loop_
_atom_site_label
_atom_site_type_symbol
_atom_site_fract_x
_atom_site_fract_y
_atom_site_fract_z
Mn1 Mn 0.000 0.000 0.000
Ag1 Ag 0.500 0.500 0.500
Pb1 Pb 0.000 0.000 0.500
# mass density: 9.6 Mg/m³
# volume: 135.2 Å³/cell
# energy relative to the elements: 2.14 eV per formula unit
# total magnetization: 0.00 Bohr magnetons per cell
# E above lowest polymorph: 0 meV per atom
# electronic total energy: -4.2005 eV per atom

Record 4
# PrHf2CuN4 PBE optimized geometry
data_PrHf2CuN4
_chemical_formula_sum 'Pr4 Hf8 Cu4 N16'
_cell_length_a 3.306
_cell_length_b 10.929
_cell_length_c 11.206
_cell_angle_alpha 90.00
_cell_angle_beta 90.00
_cell_angle_gamma 90.00
_space_group_name_H-M_alt 'C m c m'
_space_group_IT_number 63
_space_group_name_Hall '-C 2c 2'
loop_
_atom_site_label
_atom_site_type_symbol
_atom_site_fract_x
_atom_site_fract_y
_atom_site_fract_z
Pr1 Pr 0.000 0.105 0.250
Hf1 Hf 0.000 0.366 0.056
Cu1 Cu 0.000 0.160 0.750
N1 N 0.000 0.000 0.000
N2 N 0.000 0.264 0.606
N3 N 0.000 0.445 0.250
# mass density: 10.1 Mg/m³
# volume: 404.9 Å³/cell
# formation energy without anion corrections: -1.293 eV/atom
# total magnetization: 0.00 Bohr magnetons per cell
# electronic total energy: -9.0536 eV per atom

Record 5
# Li3B8C8 PBE optimized geometry
data_Li3B8C8
_chemical_formula_sum 'Li3 B8 C8'
_cell_length_a 4.694
_cell_length_b 5.365
_cell_length_c 7.793
_cell_angle_alpha 70.34
_cell_angle_beta 89.56
_cell_angle_gamma 89.11
_space_group_name_H-M_alt 'P 1'
_space_group_IT_number 1
loop_
_space_group_symop_operation_xyz
'x,y,z'
loop_
_atom_site_label
_atom_site_type_symbol
_atom_site_fract_x
_atom_site_fract_y
_atom_site_fract_z
Li1 Li 0.000 0.000 0.000
Li2 Li 0.001 0.728 0.499
Li3 Li 0.498 0.017 0.499
B1 B 0.165 0.882 0.743
B2 B 0.167 0.379 0.748
B3 B 0.334 0.373 0.244
B4 B 0.339 0.867 0.251
B5 B 0.664 0.131 0.748
B6 B 0.664 0.627 0.751
B7 B 0.835 0.616 0.251
B8 B 0.837 0.119 0.255
C1 C 0.165 0.629 0.246
C2 C 0.168 0.123 0.253
C3 C 0.334 0.122 0.748
C4 C 0.335 0.628 0.739
C5 C 0.664 0.374 0.253
C6 C 0.671 0.872 0.257
C7 C 0.833 0.875 0.745
C8 C 0.837 0.372 0.751
# mass density: 1.8 Mg/m³
# volume: 184.8 Å³/cell
# energy relative to the elements: 1.80 eV per formula unit
# total magnetization: 0.00 Bohr magnetons per cell
# E above lowest polymorph: 88 meV per atom
# electronic total energy: -6.9027 eV per atom

Record 6
# BeGaTc PBE optimized geometry
data_BeGaTc
_chemical_formula_sum 'Be4 Ga4 Tc4'
_cell_length_a 3.225
_cell_length_b 13.796
_cell_length_c 3.276
_cell_angle_alpha 90.00
_cell_angle_beta 90.00
_cell_angle_gamma 90.00
_space_group_name_H-M_alt 'C m c m'
_space_group_IT_number 63
_space_group_name_Hall '-C 2c 2'
loop_
_atom_site_label
_atom_site_type_symbol
_atom_site_fract_x
_atom_site_fract_y
_atom_site_fract_z
Be1 Be 0.000 0.040 0.250
Ga1 Ga 0.000 0.202 0.250
Tc1 Tc 0.000 0.406 0.250
# mass density: 8.1 Mg/m³
# volume: 145.8 Å³/cell
# energy relative to the elements: -0.87 eV per formula unit
# total magnetization: 0.00 Bohr magnetons per cell
# E above lowest polymorph: 0 meV per atom
# electronic total energy: -5.9971 eV per atom

Record 7
# Tb2PmY5 PBE optimized geometry
data_Tb2PmY5
_chemical_formula_sum 'Tb4 Pm2 Y10'
_cell_length_a 6.201
_cell_length_b 9.456
_cell_length_c 9.469
_cell_angle_alpha 81.82
_cell_angle_beta 70.94
_cell_angle_gamma 83.69
_space_group_name_H-M_alt 'P -1'
_space_group_IT_number 2
loop_
_space_group_symop_operation_xyz
'x,y,z'
'-x,-y,-z'
loop_
_atom_site_label
_atom_site_type_symbol
_atom_site_fract_x
_atom_site_fract_y
_atom_site_fract_z
Tb1 Tb 0.249 0.219 0.094
Tb2 Tb 0.250 0.468 0.343
Pm1 Pm 0.250 0.344 0.719
Y1 Y 0.249 0.719 0.594
Y2 Y 0.250 0.094 0.468
Y3 Y 0.250 0.969 0.844
Y4 Y 0.251 0.594 0.969
Y5 Y 0.251 0.844 0.218
# mass density: 5.8 Mg/m³
# volume: 518.2 Å³/cell
# energy relative to the elements: 0.16 eV per formula unit
# total magnetization: 0.00 Bohr magnetons per cell
# electronic total energy: -5.7720 eV per atom

Record 8
# Dy4ZnHgO PBE optimized geometry
data_Dy4ZnHgO
_chemical_formula_sum 'Dy16 Zn4 Hg4 O4'
_cell_length_a 6.663
_cell_length_b 14.788
_cell_length_c 6.676
_cell_angle_alpha 90.00
_cell_angle_beta 90.00
_cell_angle_gamma 90.00
_space_group_name_H-M_alt 'C m c m'
_space_group_IT_number 63
_space_group_name_Hall '-C 2c 2'
loop_
_atom_site_label
_atom_site_type_symbol
_atom_site_fract_x
_atom_site_fract_y
_atom_site_fract_z
Dy1 Dy 0.000 0.067 0.250
Dy2 Dy 0.000 0.425 0.250
Dy3 Dy 0.250 0.250 0.000
Zn1 Zn 0.000 0.126 0.750
Hg1 Hg 0.000 0.381 0.750
O1 O 0.000 0.251 0.250
# mass density: 9.4 Mg/m³
# volume: 657.7 Å³/cell
# formation energy without anion corrections: -1.026 eV/atom
# total magnetization: 0.00 Bohr magnetons per cell
# electronic total energy: -4.5893 eV per atom

Record 9
# Mg2CrCu PBE optimized geometry
data_Mg2CrCu
_chemical_formula_sum 'Mg2 Cr1 Cu1'
_cell_length_a 2.977
_cell_length_b 4.449
_cell_length_c 5.569
_cell_angle_alpha 90.00
_cell_angle_beta 105.31
_cell_angle_gamma 90.00
_space_group_name_H-M_alt 'P 1 m 1'
_space_group_IT_number 6
loop_
_space_group_symop_operation_xyz
'x,y,z'
'x,-y,z'
loop_
_atom_site_label
_atom_site_type_symbol
_atom_site_fract_x
_atom_site_fract_y
_atom_site_fract_z
Mg1 Mg 0.000 0.000 0.000
Mg2 Mg 0.331 0.500 0.670
Cr1 Cr 0.606 0.500 0.209
Cu1 Cu 0.725 0.000 0.462
# mass density: 3.8 Mg/m³
# volume: 71.1 Å³/cell
# energy relative to the elements: 1.15 eV per formula unit
# total magnetization: 4.16 Bohr magnetons per cell
# E above lowest polymorph: 67 meV per atom
# electronic total energy: -3.9389 eV per atom

Record 10
# CrSbSe2 PBE optimized geometry
data_CrSbSe2
_chemical_formula_sum 'Cr1 Sb1 Se2'
_cell_length_a 5.143
_cell_length_b 3.475
_cell_length_c 5.346
_cell_angle_alpha 90.00
_cell_angle_beta 112.82
_cell_angle_gamma 90.00
_space_group_name_H-M_alt 'P 1 2/m 1'
_space_group_IT_number 10
loop_
_space_group_symop_operation_xyz
'x,y,z'
'-x,-y,-z'
'-x,y,-z'
'x,-y,z'
loop_
_atom_site_label
_atom_site_type_symbol
_atom_site_fract_x
_atom_site_fract_y
_atom_site_fract_z
Cr1 Cr 0.000 0.000 0.000
Sb1 Sb 0.000 0.000 0.500
Se1 Se 0.371 0.500 0.163
# mass density: 6.3 Mg/m³
# volume: 88.1 Å³/cell
# formation energy without anion corrections: -0.067 eV/atom
# total magnetization: 2.06 Bohr magnetons per cell
# E above lowest polymorph: 250 meV per atom
# electronic total energy: -5.2456 eV per atom

Record 11
# Ba2Ni PBE optimized geometry
data_Ba2Ni
_chemical_formula_sum 'Ba2 Ni1'
_cell_length_a 5.472
_cell_length_b 5.472
_cell_length_c 3.822
_cell_angle_alpha 90.00
_cell_angle_beta 90.00
_cell_angle_gamma 90.00
_space_group_name_H-M_alt 'P 4/m m m'
_space_group_IT_number 123
_space_group_name_Hall '-P 4 2'
loop_
_atom_site_label
_atom_site_type_symbol
_atom_site_fract_x
_atom_site_fract_y
_atom_site_fract_z
Ba1 Ba 0.000 0.500 0.000
Ni1 Ni 0.000 0.000 0.500
# mass density: 4.8 Mg/m³
# volume: 114.5 Å³/cell
# energy relative to the elements: 0.58 eV per formula unit
# total magnetization: 0.00 Bohr magnetons per cell
# electronic total energy: -3.0164 eV per atom

Record 12
# Nb2ReSe6 PBE optimized geometry
data_Nb2ReSe6
_chemical_formula_sum 'Nb4 Re2 Se12'
_cell_length_a 6.265
_cell_length_b 6.373
_cell_length_c 10.684
_cell_angle_alpha 90.00
_cell_angle_beta 120.23
_cell_angle_gamma 90.00
_space_group_name_H-M_alt 'P 1 21/c 1'
_space_group_IT_number 14
loop_
_space_group_symop_operation_xyz
'x,y,z'
'-x,-y,-z'
'-x,y+1/2,-z+1/2'
'x,-y+1/2,z+1/2'
loop_
_atom_site_label
_atom_site_type_symbol
_atom_site_fract_x
_atom_site_fract_y
_atom_site_fract_z
Nb1 Nb 0.185 0.143 0.258
Re1 Re 0.000 0.000 0.500
Se1 Se 0.115 0.147 0.936
Se2 Se 0.266 0.690 0.917
Se3 Se 0.400 0.019 0.736
# mass density: 7.6 Mg/m³
# volume: 368.6 Å³/cell
# formation energy without anion corrections: -0.371 eV/atom
# total magnetization: 0.00 Bohr magnetons per cell
# electronic total energy: -6.3150 eV per atom